1.
Compound: MgPIr2
Source: Alexandria via LeMat-Bulk
Functional: GGA-PBE
Structure: relaxed

The density of states at the Fermi level comes out at 1.1 states/eV/f.u. The crystal system is tetragonal. The calculation puts the energy of formation from the pure elements at -319.4 meV/atom. The value obtained for the electronic total energy is -6.5010 eV per atom.

It has space group P4/mmm (No. 123), with a = 2.8780 Å, b = 2.8780 Å, c = 7.0107 Å, α = 90.00°, β = 90.00° and γ = 90.00°. Symmetry generates all atoms from Mg at (0.0000, 0.0000, 0.0000), P at (0.0000, 0.0000, 0.5000) and Ir at (0.5000, 0.5000, 0.2934).

2.
Compound: Sb2AsRh
Source: Alexandria via LeMat-Bulk
Functional: GGA-PBE
Structure: relaxed

The density of states at the Fermi level comes out at 1.6 states/eV/f.u. For the energy relative to the elements, uncorrected, the calculation gives 0.02 eV per atom. The crystal system is tetragonal. The value obtained for the electronic total energy is -5.0399 eV per atom.

It has space group P4/mmm (No. 123), with a = 3.2992 Å, b = 3.2992 Å, c = 7.6264 Å, α = 90.00°, β = 90.00° and γ = 90.00°. Symmetry generates all atoms from Sb at (0.0000, 0.0000, 0.2165), As at (0.5000, 0.5000, 0.5000) and Rh at (0.5000, 0.5000, 0.0000).

3.
Compound: SrCoN3
Source: Alexandria via LeMat-Bulk
Functional: GGA-PBE
Structure: relaxed

The density of states at the Fermi level comes out at 8.7 states/eV/f.u. For the energy relative to the elements, uncorrected, the calculation gives 2.99 eV per atom. The crystal system is cubic. The value obtained for the electronic total energy is -3.7603 eV per atom.

It has space group Pm-3m (No. 221), with a = 4.3752 Å, b = 4.3752 Å, c = 4.3752 Å, α = 90.00°, β = 90.00° and γ = 90.00°. Symmetry generates all atoms from Sr at (0.0000, 0.0000, 0.0000), Co at (0.5000, 0.5000, 0.5000) and N at (0.0000, 0.0000, 0.5000).

4.
Compound: LiAu3O
Source: Alexandria via LeMat-Bulk
Functional: GGA-PBE
Structure: relaxed

The density of states at the Fermi level comes out at 0.5 states/eV/f.u. For the energy relative to the elements, uncorrected, the calculation gives 0.13 eV per atom. As for the distance to the lowest polymorph of the same formula: 0.000 eV per atom. The crystal system is cubic. The value obtained for the electronic total energy is -3.2110 eV per atom.

It has space group Pm-3m (No. 221), with a = 4.5216 Å, b = 4.5216 Å, c = 4.5216 Å, α = 90.00°, β = 90.00° and γ = 90.00°. Symmetry generates all atoms from Li at (0.0000, 0.0000, 0.0000), Au at (0.0000, 0.5000, 0.5000) and O at (0.5000, 0.5000, 0.5000).

5.
Compound: SbTe2PPt
Source: Alexandria via LeMat-Bulk
Functional: GGA-PBE
Structure: relaxed

The density of states at the Fermi level comes out at 5.4 states/eV/f.u. For the energy relative to the elements, uncorrected, the calculation gives 0.89 eV per atom. As for the distance to the lowest polymorph of the same formula: 0.142 eV per atom. The crystal system is tetragonal. The value obtained for the electronic total energy is -3.4782 eV per atom.

It has space group P4/mmm (No. 123), with a = 5.1704 Å, b = 5.1704 Å, c = 4.9824 Å, α = 90.00°, β = 90.00° and γ = 90.00°. Symmetry generates all atoms from Sb at (0.0000, 0.0000, 0.0000), Te at (0.0000, 0.5000, 0.5000), P at (0.0000, 0.0000, 0.5000) and Pt at (0.5000, 0.5000, 0.0000).

6.
Compound: SrNb3H
Source: Alexandria via LeMat-Bulk
Functional: GGA-PBE
Structure: relaxed

The density of states at the Fermi level comes out at 8.2 states/eV/f.u. As for the distance to the lowest polymorph of the same formula: 2.528 eV per atom. The crystal system is cubic. The value obtained for the electronic total energy is -3.7960 eV per atom.

It has space group Pm-3m (No. 221), with a = 4.9391 Å, b = 4.9391 Å, c = 4.9391 Å, α = 90.00°, β = 90.00° and γ = 90.00°. Symmetry generates all atoms from Sr at (0.0000, 0.0000, 0.0000), Nb at (0.0000, 0.0000, 0.5000) and H at (0.5000, 0.5000, 0.5000).

7.
Compound: TbTcGe
Source: Alexandria via LeMat-Bulk
Functional: GGA-PBE
Structure: relaxed

The density of states at the Fermi level comes out at 2.5 states/eV/f.u. As for the distance to the lowest polymorph of the same formula: 0.166 eV per atom. The crystal system is hexagonal. The calculation puts the energy of formation from the pure elements at -341.1 meV/atom. The value obtained for the electronic total energy is -6.8790 eV per atom.

It has space group P-6m2 (No. 187), with a = 4.3344 Å, b = 4.3344 Å, c = 3.7380 Å, α = 90.00°, β = 90.00° and γ = 120.00°. Symmetry generates all atoms from Tb at (0.0000, 0.0000, 0.0000), Tc at (0.3333, 0.6667, 0.5000) and Ge at (0.6667, 0.3333, 0.5000).

8.
Compound: PmNdAl2Si
Source: Alexandria via LeMat-Bulk
Functional: GGA-PBE
Structure: relaxed

The density of states at the Fermi level comes out at 2.1 states/eV/f.u. For the energy relative to the elements, uncorrected, the calculation gives -0.39 eV per atom. The crystal system is orthorhombic. The value obtained for the electronic total energy is -4.8758 eV per atom.

It has space group Imm2 (No. 44), with a = 4.3816 Å, b = 4.4696 Å, c = 12.3987 Å, α = 90.00°, β = 90.00° and γ = 90.00°. Symmetry generates all atoms from Pm at (0.0000, 0.0000, 0.0000), Nd at (0.0000, 0.5000, 0.2412), Al at (0.0000, 0.0000, 0.4882), Al at (0.0000, 0.5000, 0.8450) and Si at (0.0000, 0.5000, 0.6485).

9.
Compound: LiRuW2
Source: Alexandria via LeMat-Bulk
Functional: GGA-PBE
Structure: relaxed

The density of states at the Fermi level comes out at 4.4 states/eV/f.u. The crystal system is orthorhombic. The calculation puts the energy of formation from the pure elements at 399.4 meV/atom. The value obtained for the electronic total energy is -8.8746 eV per atom.

It has space group Cmmm (No. 65), with a = 2.9558 Å, b = 4.4923 Å, c = 9.4226 Å, α = 90.00°, β = 90.00° and γ = 90.00°. Symmetry generates all atoms from Li at (0.0000, 0.0000, 0.0000), Ru at (0.0000, 0.0000, 0.5000) and W at (0.0000, 0.5000, 0.2614).

10.
Compound: Ni2PbAu
Source: Alexandria via LeMat-Bulk
Functional: GGA-PBE
Structure: relaxed

The density of states at the Fermi level comes out at 2.4 states/eV/f.u. The crystal system is tetragonal. The calculation puts the energy of formation from the pure elements at 161.1 meV/atom. The value obtained for the electronic total energy is -4.4760 eV per atom.

It has space group P4/mmm (No. 123), with a = 4.3281 Å, b = 4.3281 Å, c = 3.3925 Å, α = 90.00°, β = 90.00° and γ = 90.00°. Symmetry generates all atoms from Ni at (0.0000, 0.5000, 0.0000), Pb at (0.0000, 0.0000, 0.5000) and Au at (0.5000, 0.5000, 0.5000).

11.
Compound: Sc3BiF
Source: Alexandria via LeMat-Bulk
Functional: GGA-PBE
Structure: relaxed

The density of states at the Fermi level comes out at 6.7 states/eV/f.u. For the energy relative to the elements, uncorrected, the calculation gives -0.96 eV per atom. As for the distance to the lowest polymorph of the same formula: 0.000 eV per atom. The crystal system is cubic. The value obtained for the electronic total energy is -5.9134 eV per atom.

It has space group Pm-3m (No. 221), with a = 4.6222 Å, b = 4.6222 Å, c = 4.6222 Å, α = 90.00°, β = 90.00° and γ = 90.00°. Symmetry generates all atoms from Sc at (0.0000, 0.0000, 0.5000), Bi at (0.5000, 0.5000, 0.5000) and F at (0.0000, 0.0000, 0.0000).

12.
Compound: Sr2LaPt
Source: Alexandria via LeMat-Bulk
Functional: GGA-PBE
Structure: relaxed

The density of states at the Fermi level comes out at 3.6 states/eV/f.u. As for the distance to the lowest polymorph of the same formula: 0.446 eV per atom. The crystal system is tetragonal. The calculation puts the energy of formation from the pure elements at -159.9 meV/atom. The value obtained for the electronic total energy is -3.7428 eV per atom.

It has space group P4/mmm (No. 123), with a = 4.6430 Å, b = 4.6430 Å, c = 5.7449 Å, α = 90.00°, β = 90.00° and γ = 90.00°. Symmetry generates all atoms from Sr at (0.0000, 0.5000, 0.0000), La at (0.0000, 0.0000, 0.5000) and Pt at (0.5000, 0.5000, 0.5000).

Question: Which formula does entry 3 have?
Answer: SrCoN3

Question: Number 1 is which compound?
Answer: MgPIr2

Question: Among the records above, which one has the lowest density of states at the Fermi level?
Answer: LiAu3O